The following is a DFT calculation (PBE) of a geometry-optimized ScPd3Pt structure.

Summary:
Distance to the lowest polymorph of the same formula   1221 meV/atom
D(E_F)   0.43 states/eV per atom
Crystal system   cubic
Formation energy   563 meV per atom
Final energy   -25.1 eV per cell

Unit cell a=4.6398 b=4.6398 c=4.6398 alpha=90.00 beta=90.00 gamma=90.00
Closest atoms and distances in Å follow each position.
Fractional positions:
Sc1 0.0000 0.0000 0.0000  6 Pd 2.32
Pd1 0.0000 0.0000 0.5000  2 Sc 2.32
Pd2 0.0000 0.5000 0.0000  2 Sc 2.32
Pd3 0.5000 0.0000 0.0000  2 Sc 2.32
Pt1 0.5000 0.5000 0.5000  12 Pd 3.28